Here is crystalline SrCrAs2N at its relaxed geometry from Alexandria. Energies are from PBEsol.

## Properties
Calculated total energy (eV per atom): -6.190
Energy relative to the elements, uncorrected (eV/atom): -0.03
Symmetry: P4/mmm

The structure in CIF format:
```
data_SrCrAs2N
_cell_length_a 3.703
_cell_length_b 4.955
_cell_length_c 4.955
_cell_angle_alpha 90.00
_cell_angle_beta 90.00
_cell_angle_gamma 90.00
_symmetry_space_group_name_H-M 'P 1'
_symmetry_Int_Tables_number 1
_symmetry_space_group_name_Hall 'P 1'
loop_
_atom_site_label
_atom_site_type_symbol
_atom_site_fract_x
_atom_site_fract_y
_atom_site_fract_z
Sr1 Sr 0.500 0.500 0.500
As1 As 0.000 0.000 0.500
As2 As 0.000 0.500 0.000
Cr1 Cr 0.500 0.000 0.000
N1 N 0.000 0.000 0.000
```